No. 1
Density functional theory data (PBE) for a geometry-optimized Ir2PdO structure.

Cell: 4.518 4.518 7.300 Å, 71.97 71.97 90.00°
Fractional positions:
Ir: 0.375 0.518 0.750
Ir: 0.875 0.732 0.750
Ir: 0.482 0.125 0.250
Ir: 0.268 0.625 0.250
O: 0.250 0.750 0.500
O: 0.500 0.500 0.000
Pd: 0.000 0.000 0.000
Pd: 0.750 0.250 0.500

Computed properties:
Formation energy (no corrections), eV/atom: 0.616
Density of states at the Fermi level, states/eV per atom: 1.659
Total DFT energy (no corrections), eV per atom: -6.35
Size of the total moment, μB/f.u.: 0.000
Space group: No. 122


No. 2
Density functional theory data (PBE) for a geometry-optimized PmCdCo2H8 structure.

Cell: 4.669 4.669 6.060 Å, 67.34 67.34 60.00°
Fractional positions:
H: 0.796 0.796 0.611
H: 0.900 0.556 0.142
H: 0.444 0.599 0.858
H: 0.401 0.900 0.142
H: 0.100 0.444 0.858
H: 0.204 0.204 0.389
H: 0.556 0.401 0.142
H: 0.599 0.100 0.858
Co: 0.304 0.304 0.089
Co: 0.696 0.696 0.911
Cd: 0.000 0.000 0.000
Pm: 0.500 0.500 0.500

Computed properties:
Density of states at the Fermi level, states/eV per atom: 0.300
Total DFT energy (no corrections), eV per atom: -3.97
Size of the total moment, μB/f.u.: 0.000
Space group: No. 148


No. 3
Density functional theory data (PBE) for a geometry-optimized TiAsPd structure.

Cell: 2.785 2.785 7.293 Å, 101.01 101.01 90.00°
Fractional positions:
Ti: 0.127 0.127 0.255
As: 0.765 0.765 0.530
Pd: 0.958 0.958 0.916

Computed properties:
DFT formation energy, eV/atom: -0.114
Density of states at the Fermi level, states/eV per atom: 0.872
Total DFT energy (no corrections), eV per atom: -6.03
Size of the total moment, μB/f.u.: 0.000
Space group: No. 107


No. 4
Density functional theory data (PBE) for a geometry-optimized PaCdHgBi structure.

Cell: 5.297 5.297 5.297 Å, 60.00 60.00 60.00°
Site moments in Bohr magnetons follow the coordinates.
Fractional positions:
Pa: 0.250 0.250 0.250  1.10
Hg: 0.000 0.000 0.000  0.01
Bi: 0.500 0.500 0.500  0.11
Cd: 0.750 0.750 0.750  0.02

Computed properties:
Offset from the most stable computed form, meV per atom: 164
DFT formation energy, eV/atom: 0.093
Density of states at the Fermi level, states/eV per atom: 1.292
Total DFT energy (no corrections), eV per atom: -3.56
Size of the total moment, μB/f.u.: 1.463
Space group: No. 216


Question: Which value of total DFT energy (no corrections) does entry 4 give?
Answer: -3.56 eV per atom


Question: The highest total DFT energy (no corrections) belongs to which entry?
Answer: PaCdHgBi


What did the first record say?
Density functional theory data (PBE) for a geometry-optimized Ir2PdO structure.

Cell: 4.518 4.518 7.300 Å, 71.97 71.97 90.00°
Fractional positions:
Ir: 0.375 0.518 0.750
Ir: 0.875 0.732 0.750
Ir: 0.482 0.125 0.250
Ir: 0.268 0.625 0.250
O: 0.250 0.750 0.500
O: 0.500 0.500 0.000
Pd: 0.000 0.000 0.000
Pd: 0.750 0.250 0.500

Computed properties:
Formation energy (no corrections), eV/atom: 0.616
Density of states at the Fermi level, states/eV per atom: 1.659
Total DFT energy (no corrections), eV per atom: -6.35
Size of the total moment, μB/f.u.: 0.000
Space group: No. 122